[1]
# GGA-PBE BaHfCrP2, optimized geometry
# - Crystal system: tetragonal
# - E_form: 2.118 eV/atom
data_BaHfCrP2
_chemical_formula_sum 'Ba1 Hf1 Cr1 P2'
_cell_length_a 5.446
_cell_length_b 5.446
_cell_length_c 5.627
_cell_angle_alpha 90.00
_cell_angle_beta 90.00
_cell_angle_gamma 90.00
_space_group_name_H-M_alt 'P 4/m m m'
_space_group_IT_number 123
_space_group_name_Hall '-P 4 2'
loop_
_atom_site_label
_atom_site_fract_x
_atom_site_fract_y
_atom_site_fract_z
Ba1 0.000 0.000 0.000
Hf1 0.000 0.000 0.500
Cr1 0.500 0.500 0.500
P1 0.000 0.500 0.000


[2]
# GGA-PBE BaHfCr2Pd, optimized geometry
# - Crystal system: tetragonal
# - E_form: 0.797 eV/atom
data_BaHfCr2Pd
_chemical_formula_sum 'Ba1 Hf1 Cr2 Pd1'
_cell_length_a 5.167
_cell_length_b 5.167
_cell_length_c 5.066
_cell_angle_alpha 90.00
_cell_angle_beta 90.00
_cell_angle_gamma 90.00
_space_group_name_H-M_alt 'P 4/m m m'
_space_group_IT_number 123
_space_group_name_Hall '-P 4 2'
loop_
_atom_site_label
_atom_site_fract_x
_atom_site_fract_y
_atom_site_fract_z
Ba1 0.000 0.000 0.000
Hf1 0.500 0.500 0.500
Cr1 0.000 0.500 0.500
Pd1 0.500 0.500 0.000


[3]
# GGA-PBE Ba2HfCrS6, optimized geometry
# - Crystal system: monoclinic
# - Formation energy without anion corrections: -1.431 eV per atom
data_Ba2HfCrS6
_chemical_formula_sum 'Ba4 Hf2 Cr2 S12'
_cell_length_a 6.932
_cell_length_b 6.863
_cell_length_c 11.943
_cell_angle_alpha 90.00
_cell_angle_beta 125.41
_cell_angle_gamma 90.00
_space_group_name_H-M_alt 'P 1 21/c 1'
_space_group_IT_number 14
loop_
_space_group_symop_operation_xyz
'x,y,z'
'-x,-y,-z'
'-x,y+1/2,-z+1/2'
'x,-y+1/2,z+1/2'
loop_
_atom_site_label
_atom_site_fract_x
_atom_site_fract_y
_atom_site_fract_z
Ba1 0.249 0.003 0.249
Hf1 0.500 0.000 0.000
Cr1 0.000 0.000 0.500
S1 0.221 0.247 0.482
S2 0.229 0.739 0.982
S3 0.279 0.000 0.743


[4]
# GGA-PBE BaYHfCr2, optimized geometry
# - Crystal system: tetragonal
# - E_form: 2.102 eV/atom
data_BaYHfCr2
_chemical_formula_sum 'Ba1 Y1 Hf1 Cr2'
_cell_length_a 4.842
_cell_length_b 4.842
_cell_length_c 5.262
_cell_angle_alpha 90.00
_cell_angle_beta 90.00
_cell_angle_gamma 90.00
_space_group_name_H-M_alt 'P 4/m m m'
_space_group_IT_number 123
_space_group_name_Hall '-P 4 2'
loop_
_atom_site_label
_atom_site_fract_x
_atom_site_fract_y
_atom_site_fract_z
Ba1 0.000 0.000 0.000
Y1 0.500 0.500 0.500
Hf1 0.000 0.000 0.500
Cr1 0.000 0.500 0.000


[5]
# GGA-PBE BaCrHg3, optimized geometry
# - Crystal system: cubic
# - E_form: 0.802 eV/atom
data_BaCrHg3
_chemical_formula_sum 'Ba1 Cr1 Hg3'
_cell_length_a 6.418
_cell_length_b 6.418
_cell_length_c 6.418
_cell_angle_alpha 90.00
_cell_angle_beta 90.00
_cell_angle_gamma 90.00
_space_group_name_H-M_alt 'P m -3 m'
_space_group_IT_number 221
_space_group_name_Hall '-P 4 2 3'
loop_
_atom_site_label
_atom_site_fract_x
_atom_site_fract_y
_atom_site_fract_z
Ba1 0.000 0.000 0.000
Cr1 0.500 0.500 0.500
Hg1 0.000 0.000 0.500


[6]
# GGA-PBE BaCr2Hg2, optimized geometry
# - Crystal system: tetragonal
# - E_form: 0.364 eV/atom
data_BaCr2Hg2
_chemical_formula_sum 'Ba2 Cr4 Hg4'
_cell_length_a 5.194
_cell_length_b 5.194
_cell_length_c 10.317
_cell_angle_alpha 90.00
_cell_angle_beta 90.00
_cell_angle_gamma 90.00
_space_group_name_H-M_alt 'I 4/m m m'
_space_group_IT_number 139
_space_group_name_Hall '-I 4 2'
loop_
_atom_site_label
_atom_site_fract_x
_atom_site_fract_y
_atom_site_fract_z
Ba1 0.000 0.000 0.000
Cr1 0.000 0.000 0.359
Hg1 0.000 0.500 0.250


[7]
# GGA-PBE BaCrHg3, optimized geometry
# - Crystal system: cubic
# - E_form: -0.039 eV/atom
data_BaCrHg3
_chemical_formula_sum 'Ba1 Cr1 Hg3'
_cell_length_a 5.340
_cell_length_b 5.340
_cell_length_c 5.340
_cell_angle_alpha 90.00
_cell_angle_beta 90.00
_cell_angle_gamma 90.00
_space_group_name_H-M_alt 'P m -3 m'
_space_group_IT_number 221
_space_group_name_Hall '-P 4 2 3'
loop_
_atom_site_label
_atom_site_fract_x
_atom_site_fract_y
_atom_site_fract_z
Ba1 0.000 0.000 0.000
Cr1 0.500 0.500 0.500
Hg1 0.000 0.500 0.500


[8]
# GGA-PBE BaCr4Hg, optimized geometry
# - Crystal system: cubic
# - E_form: 1.017 eV/atom
data_BaCr4Hg
_chemical_formula_sum 'Ba4 Cr16 Hg4'
_cell_length_a 7.716
_cell_length_b 7.716
_cell_length_c 7.716
_cell_angle_alpha 90.00
_cell_angle_beta 90.00
_cell_angle_gamma 90.00
_space_group_name_H-M_alt 'F -4 3 m'
_space_group_IT_number 216
_space_group_name_Hall 'F -4 2 3'
loop_
_atom_site_label
_atom_site_fract_x
_atom_site_fract_y
_atom_site_fract_z
Ba1 0.000 0.000 0.000
Cr1 0.103 0.103 0.603
Hg1 0.250 0.250 0.250


[9]
# GGA-PBE BaCrHg4, optimized geometry
# - Crystal system: cubic
# - E_form: 0.087 eV/atom
data_BaCrHg4
_chemical_formula_sum 'Ba4 Cr4 Hg16'
_cell_length_a 8.697
_cell_length_b 8.697
_cell_length_c 8.697
_cell_angle_alpha 90.00
_cell_angle_beta 90.00
_cell_angle_gamma 90.00
_space_group_name_H-M_alt 'F -4 3 m'
_space_group_IT_number 216
_space_group_name_Hall 'F -4 2 3'
loop_
_atom_site_label
_atom_site_fract_x
_atom_site_fract_y
_atom_site_fract_z
Ba1 0.000 0.000 0.000
Cr1 0.250 0.250 0.750
Hg1 0.124 0.124 0.376


[10]
# GGA-PBE BaCr2InHg, optimized geometry
# - Crystal system: tetragonal
# - E_form: 0.839 eV/atom
data_BaCr2InHg
_chemical_formula_sum 'Ba1 Cr2 In1 Hg1'
_cell_length_a 5.336
_cell_length_b 5.336
_cell_length_c 6.225
_cell_angle_alpha 90.00
_cell_angle_beta 90.00
_cell_angle_gamma 90.00
_space_group_name_H-M_alt 'P 4/m m m'
_space_group_IT_number 123
_space_group_name_Hall '-P 4 2'
loop_
_atom_site_label
_atom_site_fract_x
_atom_site_fract_y
_atom_site_fract_z
Ba1 0.000 0.000 0.000
Cr1 0.000 0.500 0.500
In1 0.500 0.500 0.000
Hg1 0.000 0.000 0.500


[11]
# GGA-PBE K2BaCrHg, optimized geometry
# - Crystal system: tetragonal
# - E_form: 0.574 eV/atom
data_K2BaCrHg
_chemical_formula_sum 'K2 Ba1 Cr1 Hg1'
_cell_length_a 6.517
_cell_length_b 6.517
_cell_length_c 6.699
_cell_angle_alpha 90.00
_cell_angle_beta 90.00
_cell_angle_gamma 90.00
_space_group_name_H-M_alt 'P 4/m m m'
_space_group_IT_number 123
_space_group_name_Hall '-P 4 2'
loop_
_atom_site_label
_atom_site_fract_x
_atom_site_fract_y
_atom_site_fract_z
K1 0.000 0.500 0.000
Ba1 0.000 0.000 0.500
Cr1 0.000 0.000 0.000
Hg1 0.500 0.500 0.500


[12]
# GGA-PBE BaLiCr2Hg, optimized geometry
# - Crystal system: tetragonal
# - E_form: 1.735 eV/atom
data_BaLiCr2Hg
_chemical_formula_sum 'Ba1 Li1 Cr2 Hg1'
_cell_length_a 5.367
_cell_length_b 5.367
_cell_length_c 5.137
_cell_angle_alpha 90.00
_cell_angle_beta 90.00
_cell_angle_gamma 90.00
_space_group_name_H-M_alt 'P 4/m m m'
_space_group_IT_number 123
_space_group_name_Hall '-P 4 2'
loop_
_atom_site_label
_atom_site_fract_x
_atom_site_fract_y
_atom_site_fract_z
Ba1 0.000 0.000 0.000
Li1 0.000 0.000 0.500
Cr1 0.000 0.500 0.000
Hg1 0.500 0.500 0.500


Calculated density (g cm⁻³), listed in the same order as above: 4.276, 6.460, 5.003, 6.847, 4.970, 7.667, 8.628, 7.895, 10.015, 5.216, 2.732, 5.036
Calculated final energy (eV per atom), listed in the same order as above: -4.346, -6.467, -6.250, -5.416, -1.689, -3.991, -2.530, -5.769, -2.039, -4.002, -2.235, -2.942